# 1
VASP calculation (PBE-GGA) on a relaxed structure of TaNCl2.

Summary:
space-group type	I-42d, No. 122
total energy	-6.52	eV per atom
polymorph energy (0 for the lowest one)	0	meV/atom
formation energy from raw total energies	-0.550	eV/atom

Cell: 9.3563 9.3563 3.9031 Å, 90.00 90.00 90.00°
Element x y z (fractional)
1 Ta 0.0000 0.0000 0.0000
2 Ta 0.0000 0.5000 0.2500
3 Ta 0.5000 0.0000 0.7500
4 Ta 0.5000 0.5000 0.5000
5 N 0.0000 0.0000 0.5000
6 N 0.0000 0.5000 0.7500
7 N 0.5000 0.0000 0.2500
8 N 0.5000 0.5000 0.0000
9 Cl 0.0895 0.2500 0.1250
10 Cl 0.2500 0.5895 0.3750
11 Cl 0.2500 0.9105 0.8750
12 Cl 0.4105 0.2500 0.6250
13 Cl 0.5895 0.7500 0.6250
14 Cl 0.7500 0.0895 0.8750
15 Cl 0.7500 0.4105 0.3750
16 Cl 0.9105 0.7500 0.1250

=====

# 2
VASP calculation (PBE-GGA) on a relaxed structure of Ho3AsSeS.

Summary:
space-group type	C2/c, No. 15
total energy	-5.73	eV per atom
formation energy from raw total energies	-1.402	eV/atom

Cell: 7.8340 7.8340 6.6875 Å, 98.29 98.29 129.04°
Element x y z (fractional)
1 Ho 0.1705 0.3243 0.0010
2 Ho 0.2453 0.7547 0.7500
3 Ho 0.3243 0.1705 0.5010
4 Ho 0.6757 0.8295 0.4990
5 Ho 0.7547 0.2453 0.2500
6 Ho 0.8295 0.6757 0.9990
7 As 0.4352 0.5648 0.7500
8 As 0.5648 0.4352 0.2500
9 Se 0.2497 0.7503 0.2500
10 Se 0.7503 0.2497 0.7500
11 S 0.0568 0.9432 0.7500
12 S 0.9432 0.0568 0.2500

=====

# 3
VASP calculation (PBE-GGA) on a relaxed structure of LaNd2Hf.

Summary:
space-group type	P4/mmm, No. 123
total energy	-5.91	eV per atom
polymorph energy (0 for the lowest one)	0	meV/atom
energy of formation from the pure elements	0.1914	eV/atom

Cell: 4.9874 4.9874 5.0285 Å, 90.00 90.00 90.00°
Element x y z (fractional)
1 La 0.0000 0.0000 0.0000
2 Nd 0.0000 0.5000 0.5000
3 Nd 0.5000 0.0000 0.5000
4 Hf 0.5000 0.5000 0.0000